(1)
Material: SiPb3W
Method: DFT, GGA-PBEsol
State: optimized geometry

abc: 5.327 5.327 5.327
angles: 90.00 90.00 90.00
Each line ends with the local moment (μB).
Positions (direct):
Pb  0.500  0.000  0.000  0.01
Pb  0.000  0.000  0.500  0.01
Pb  0.000  0.500  0.000  0.01
W  0.000  0.000  0.000  0.17
Si  0.500  0.500  0.500  0.17

## Properties
offset from the most stable computed form	0.000	eV per atom
E_tot	-5.155	eV per atom

(2)
Material: AlMoRu
Method: DFT, GGA-PBEsol
State: optimized geometry

abc: 2.762 4.224 4.224
angles: 120.00 90.00 90.00
Positions (direct):
Ru  0.312  0.667  0.333
Mo  0.638  0.333  0.667
Al  0.049  0.000  0.000

## Properties
ΔE_f	-0.1703	eV per atom
E_tot	-8.848	eV per atom

(3)
Material: CdSbP4
Method: DFT, GGA-PBEsol
State: optimized geometry

abc: 5.592 5.592 5.592
angles: 60.00 60.00 60.00
Positions (direct):
P  0.947  0.351  0.351
P  0.351  0.351  0.947
P  0.351  0.947  0.351
P  0.351  0.351  0.351
Cd  0.000  0.000  0.000
Sb  0.750  0.750  0.750

## Properties
E_tot	-4.324	eV per atom

(4)
Material: BaIr2Pb
Method: DFT, GGA-PBEsol
State: optimized geometry

abc: 4.689 5.087 4.689
angles: 62.56 90.00 117.44
Positions (direct):
Ir  0.750  0.500  0.750
Ir  0.250  0.500  0.250
Pb  0.000  0.000  0.000
Ba  0.500  0.000  0.500

## Properties
ΔE_f	0.5866	eV per atom
E_tot	-5.862	eV per atom

(5)
Material: KMn4Si
Method: DFT, GGA-PBEsol
State: optimized geometry

abc: 4.818 4.818 4.818
angles: 60.00 60.00 60.00
Positions (direct):
Mn  0.868  0.377  0.377
Mn  0.377  0.377  0.868
Mn  0.377  0.377  0.377
Mn  0.377  0.868  0.377
K  0.000  0.000  0.000
Si  0.750  0.750  0.750

## Properties
E_tot	-6.671	eV per atom

(6)
Material: Li2CaMn
Method: DFT, GGA-PBEsol
State: optimized geometry

abc: 3.214 3.214 10.306
angles: 81.03 81.03 60.00
Each line ends with the local moment (μB).
Positions (direct):
Li  0.239  0.239  0.284  -0.01
Li  0.761  0.761  0.716  -0.01
Ca  0.000  0.000  0.000  0.03
Mn  0.500  0.500  0.500  3.94

## Properties
offset from the most stable computed form	0.133	eV per atom
ΔE_f	0.5672	eV per atom
E_tot	-3.390	eV per atom

(7)
Material: ScCd2Os
Method: DFT, GGA-PBEsol
State: optimized geometry

abc: 3.057 3.057 9.446
angles: 80.69 80.69 60.00
Positions (direct):
Sc  0.240  0.240  0.280
Cd  0.756  0.756  0.731
Cd  0.999  0.999  0.003
Os  0.505  0.505  0.486

## Properties
offset from the most stable computed form	0.018	eV per atom
ΔE_f	0.1096	eV per atom
E_tot	-5.194	eV per atom

(8)
Material: AlAg2Pt
Method: DFT, GGA-PBEsol
State: optimized geometry

abc: 2.875 2.875 8.936
angles: 80.74 80.74 60.00
Positions (direct):
Ag  0.755  0.755  0.735
Ag  0.999  0.999  0.003
Al  0.504  0.504  0.489
Pt  0.243  0.243  0.272

## Properties
offset from the most stable computed form	0.061	eV per atom
ΔE_f	-0.2564	eV per atom
E_tot	-4.676	eV per atom

(9)
Material: YGa2Tc
Method: DFT, GGA-PBEsol
State: optimized geometry

abc: 4.573 4.573 4.573
angles: 60.00 60.00 60.00
Positions (direct):
Y  0.000  0.000  0.000
Tc  0.500  0.500  0.500
Ga  0.750  0.750  0.750
Ga  0.250  0.250  0.250

## Properties
ΔE_f	-0.2713	eV per atom
E_tot	-6.463	eV per atom

(10)
Material: La2TaAu
Method: DFT, GGA-PBEsol
State: optimized geometry

abc: 3.324 5.295 6.493
angles: 114.06 104.83 90.00
Positions (direct):
Au  0.218  0.218  0.436
La  0.976  0.476  0.952
La  0.774  0.774  0.548
Ta  0.532  0.032  0.064

## Properties
offset from the most stable computed form	0.000	eV per atom
ΔE_f	0.0083	eV per atom
E_tot	-6.784	eV per atom

(11)
Material: Bi2O3
Method: DFT, GGA-PBEsol
State: optimized geometry

abc: 5.872 5.872 5.872
angles: 64.82 64.82 64.82
Positions (direct):
Bi  0.134  0.134  0.134
Bi  0.366  0.366  0.366
Bi  0.866  0.866  0.866
Bi  0.634  0.634  0.634
O  0.995  0.250  0.505
O  0.750  0.495  0.005
O  0.505  0.995  0.250
O  0.005  0.750  0.495
O  0.250  0.505  0.995
O  0.495  0.005  0.750

## Properties
E_tot	-6.084	eV per atom

(12)
Material: Sr4CaBr
Method: DFT, GGA-PBEsol
State: optimized geometry

abc: 7.590 7.590 7.590
angles: 60.00 60.00 60.00
Positions (direct):
Sr  0.878  0.374  0.374
Sr  0.374  0.374  0.374
Sr  0.374  0.878  0.374
Sr  0.374  0.374  0.878
Br  0.750  0.750  0.750
Ca  0.000  0.000  0.000

## Properties
E_tot	-1.842	eV per atom

For the records above, the corresponding density of states at the Fermi level values read 1.38; 0.61; 0.65; 0.50; 1.16; 0.98; 0.42; 0.37; 0.95; 1.11; 0.00; 0.93 states/eV per atom.